# 1
5
Lattice="5.132 0.000 0.000 0.000 5.378 0.000 0.000 0.000 5.132" Properties=species:S:1:pos:R:3 comment="ReGeTeBr2 (PBE, optimized geometry)" formation_energy_uncorrected_ev_per_atom=1.07 dft_energy_ev_per_atom=-3.64 density_g_cm3=6.40 pbc="T T T"
Te 2.566 2.689 2.566
Ge 0.000 0.000 0.000
Br 2.566 0.000 0.000
Br 0.000 0.000 2.566
Re 0.000 2.689 0.000

# 2
4
Lattice="2.110 0.000 8.744 -1.055 1.828 8.744 -1.055 -1.828 8.744" Properties=species:S:1:pos:R:3 comment="GeRhBr2 (PBE, optimized geometry)" formation_energy_uncorrected_ev_per_atom=0.26 e_above_lowest_polymorph_mev_per_atom=335 dft_energy_ev_per_atom=-3.56 density_g_cm3=5.50 pbc="T T T"
Br 0.000 0.000 2.836
Br 0.000 0.000 23.397
Rh 0.000 0.000 13.116
Ge 0.000 0.000 0.000

# 3
4
Lattice="0.000 3.447 3.447 3.447 0.000 3.447 3.447 3.447 0.000" Properties=species:S:1:pos:R:3 comment="GeRhBr2 (PBE, optimized geometry)" formation_energy_uncorrected_ev_per_atom=0.42 e_above_lowest_polymorph_mev_per_atom=488 dft_energy_ev_per_atom=-3.41 density_g_cm3=6.80 pbc="T T T"
Br 1.724 1.724 1.724
Ge 0.000 0.000 0.000
Br 5.171 5.171 5.171
Rh 3.447 3.447 3.447

# 4
5
Lattice="-4.791 -2.056 1.199 0.934 -4.103 -3.304 2.189 -2.749 4.034" Properties=species:S:1:pos:R:3 comment="GeRhBr3 (PBE, optimized geometry)" formation_energy_uncorrected_ev_per_atom=0.45 e_above_lowest_polymorph_mev_per_atom=292 dft_energy_ev_per_atom=-2.94 density_g_cm3=4.50 pbc="T T T"
Ge 0.000 0.000 0.000
Br 1.094 -1.375 2.017
Br -2.396 -1.028 0.599
Rh -0.834 -4.454 0.964
Br 0.467 -2.051 -1.652

# 5
5
Lattice="-2.842 -3.764 -1.805 -1.710 -0.942 4.658 -3.808 3.232 -0.744" Properties=species:S:1:pos:R:3 comment="GeRhBr3 (PBE, optimized geometry)" formation_energy_uncorrected_ev_per_atom=0.16 e_above_lowest_polymorph_mev_per_atom=0 dft_energy_ev_per_atom=-3.24 density_g_cm3=5.35 pbc="T T T"
Br -1.421 -1.882 -0.902
Ge -4.180 -0.737 1.054
Br -1.904 1.616 -0.372
Br -0.855 -0.471 2.329
Rh 0.000 0.000 0.000

# 6
5
Lattice="4.644 0.000 0.000 0.000 4.644 0.000 0.000 0.000 4.644" Properties=species:S:1:pos:R:3 comment="GeRh3Br (PBE, optimized geometry)" formation_energy_uncorrected_ev_per_atom=0.75 e_above_lowest_polymorph_mev_per_atom=0 dft_energy_ev_per_atom=-4.91 density_g_cm3=7.65 pbc="T T T"
Ge 0.000 0.000 0.000
Rh 0.000 2.322 0.000
Br 2.322 2.322 2.322
Rh 2.322 0.000 0.000
Rh 0.000 0.000 2.322